Entry 1:
The following is a DFT calculation (PBE) of crystalline Rb4Au3I at its relaxed geometry.

The structure in POSCAR format:
```
Rb4Au3I
1.0
5.757 0.000 1.699
2.628 5.122 1.699
0.004 0.002 10.588
Rb I Au
4 1 3
direct
0.873 0.873 0.381 Rb
0.621 0.621 0.138 Rb
0.127 0.127 0.619 Rb
0.379 0.379 0.862 Rb
0.000 0.000 0.000 I
0.755 0.755 0.736 Au
0.245 0.245 0.264 Au
0.500 0.500 0.500 Au
```

Properties
The space group is R-3m. The energy relative to the elements, uncorrected is -563 meV per atom. As for the total magnetization: 0.0 μB/cell. The calculated total energy comes out at -19.758 eV/cell.

=====

Entry 2:
The following is a DFT calculation (PBE) of crystalline NaCaHg2Bi at its relaxed geometry.

The structure in POSCAR format:
```
NaCaHg2Bi
1.0
5.986 0.000 0.000
0.000 5.986 0.000
0.000 -2.993 8.488
Na Bi Ca Hg
2 2 2 4
direct
0.750 0.146 0.293 Na
0.250 0.854 0.707 Na
0.750 0.751 0.501 Bi
0.250 0.249 0.499 Bi
0.750 0.344 0.689 Ca
0.250 0.656 0.311 Ca
0.500 0.751 0.000 Hg
0.000 0.249 0.000 Hg
0.000 0.751 0.000 Hg
0.500 0.249 0.000 Hg
```

Properties
The space group is Cmcm. As for the total magnetization: 0.0 μB/cell. The calculated total energy comes out at -18.738 eV/cell.

=====

Entry 3:
The following is a DFT calculation (PBE) of crystalline CsK2CdTe at its relaxed geometry.

The structure in POSCAR format:
```
CsK2CdTe
1.0
6.687 0.000 0.000
0.000 6.687 0.000
0.000 0.000 7.449
K Cd Cs Te
2 1 1 1
direct
0.000 0.500 0.000 K
0.500 0.000 0.000 K
0.500 0.500 0.500 Cd
0.000 0.000 0.500 Cs
0.000 0.000 0.000 Te
```

Properties
The space group is P4/mmm. The energy relative to the elements, uncorrected is -438 meV per atom. As for the total magnetization: 0.0 μB/cell. The calculated total energy comes out at -9.297 eV/cell.